Entry from Alexandria: MnNi2Ag after structural relaxation (PBE).

The structure in POSCAR format:
```
MnNi2Ag
1.0
-3.235 -2.152 1.659
-2.396 1.765 2.998
-3.970 1.149 -0.873
Ni Ag Mn
2 1 1
direct
0.250 0.250 0.250
0.750 0.750 0.750
0.500 0.500 0.500
0.000 0.000 0.000
```

Summary:
As for the energy above the most stable polymorph in this dataset: 60.7 meV/atom. Its calculated volume is 53.3 Å³/f.u. The total magnetic moment comes out at 4.39 μB/f.u. The energy of formation is 157 meV/atom. Its density is 8.73 Mg/m³. Its space group is Fm-3m.

=====

Entry from Alexandria: MnNiAg2 after structural relaxation (PBE).

The structure in POSCAR format:
```
MnNiAg2
1.0
4.618 0.000 0.000
0.000 2.791 0.013
0.000 0.420 4.852
Ni Mn Ag
1 1 2
direct
0.500 0.750 0.750
0.500 0.250 0.250
0.000 0.515 0.504
0.000 0.985 0.996
```

Summary:
As for the energy above the most stable polymorph in this dataset: 178.8 meV/atom. Its calculated volume is 62.5 Å³/f.u. The total magnetic moment comes out at 4.48 μB/f.u. The energy of formation is 300 meV/atom. Its density is 8.75 Mg/m³. Its space group is P2/m.

=====

Entry from Alexandria: MnNi2Ag after structural relaxation (PBE).

The structure in POSCAR format:
```
MnNi2Ag
1.0
-6.348 0.753 1.253
1.519 -1.622 -3.136
-2.287 -2.734 0.315
Ni Mn Ag
2 1 1
direct
0.500 0.000 0.500
0.000 0.000 0.000
0.500 0.500 0.000
0.000 0.500 0.500
```

Summary:
As for the energy above the most stable polymorph in this dataset: 23.9 meV/atom. Its calculated volume is 52.9 Å³/f.u. The total magnetic moment comes out at 4.42 μB/f.u. The energy of formation is 120 meV/atom. Its density is 8.80 Mg/m³. Its space group is C2/m.

=====

Entry from Alexandria: Mn2NiAg2 after structural relaxation (PBE).

The structure in POSCAR format:
```
Mn2NiAg2
1.0
3.084 0.000 0.000
0.000 3.084 0.000
1.542 1.542 7.735
Ag Mn Ni
2 2 1
direct
0.600 0.600 0.799
0.400 0.400 0.201
0.750 0.250 0.500
0.250 0.750 0.500
0.000 0.000 0.000
```

Summary:
As for the energy above the most stable polymorph in this dataset: 120.2 meV/atom. Its calculated volume is 73.6 Å³/f.u. The total magnetic moment comes out at 0.46 μB/f.u. The energy of formation is 656 meV/atom. Its density is 8.68 Mg/m³. Its space group is I4/mmm.

=====

Entry from Alexandria: MnNiAg2 after structural relaxation (PBE).

The structure in POSCAR format:
```
MnNiAg2
1.0
2.885 0.486 0.000
-0.485 2.885 0.000
0.000 0.000 7.223
Ag Ni Mn
2 1 1
direct
0.000 0.000 0.513
0.000 0.000 0.987
0.500 0.500 0.750
0.500 0.500 0.250
```

Summary:
As for the energy above the most stable polymorph in this dataset: 183.1 meV/atom. Its calculated volume is 61.8 Å³/f.u. The total magnetic moment comes out at 4.27 μB/f.u. The energy of formation is 305 meV/atom. Its density is 8.85 Mg/m³. Its space group is P4/mmm.

=====

Entry from Alexandria: Mn2Ni2Ag after structural relaxation (PBE).

The structure in POSCAR format:
```
Mn2Ni2Ag
1.0
7.015 0.000 0.000
0.000 7.015 0.000
0.000 0.000 2.558
Ag Mn Ni
2 4 4
direct
0.500 0.500 0.000
0.000 0.000 0.000
0.898 0.602 0.000
0.102 0.398 0.000
0.602 0.102 0.000
0.398 0.898 0.000
0.186 0.686 0.500
0.686 0.814 0.500
0.814 0.314 0.500
0.314 0.186 0.500
```

Summary:
As for the energy above the most stable polymorph in this dataset: 222.1 meV/atom. Its calculated volume is 62.9 Å³/f.u. The total magnetic moment comes out at 0.00 μB/f.u. The energy of formation is 334 meV/atom. Its density is 8.84 Mg/m³. Its space group is P4/mbm.

=====

Entry from Alexandria: MnNi2Ag after structural relaxation (PBE).

The structure in POSCAR format:
```
MnNi2Ag
1.0
4.667 -0.058 0.160
3.853 2.634 0.160
0.963 0.291 4.330
Ni Ag Mn
2 1 1
direct
0.738 0.738 0.762
0.004 0.004 0.004
0.496 0.496 0.513
0.261 0.261 0.221
```

Summary:
As for the energy above the most stable polymorph in this dataset: 82.7 meV/atom. Its calculated volume is 53.7 Å³/f.u. The total magnetic moment comes out at 4.65 μB/f.u. The energy of formation is 179 meV/atom. Its density is 8.66 Mg/m³. Its space group is Cm.

=====

Entry from Alexandria: Mn2NiAg2 after structural relaxation (PBE).

The structure in POSCAR format:
```
Mn2NiAg2
1.0
7.288 0.000 0.000
0.000 7.288 0.000
0.000 0.000 3.115
Mn Ag Ni
4 4 2
direct
0.833 0.333 0.500
0.667 0.833 0.500
0.167 0.667 0.500
0.333 0.167 0.500
0.634 0.134 0.000
0.366 0.866 0.000
0.866 0.634 0.000
0.134 0.366 0.000
0.500 0.500 0.000
0.000 0.000 0.000
```

Summary:
As for the energy above the most stable polymorph in this dataset: 0.0 meV/atom. Its calculated volume is 82.7 Å³/f.u. The total magnetic moment comes out at 8.61 μB/f.u. The energy of formation is 536 meV/atom. Its density is 7.71 Mg/m³. Its space group is P4/mbm.

=====

Entry from Alexandria: MnNiAg2 after structural relaxation (PBE).

The structure in POSCAR format:
```
MnNiAg2
1.0
-2.340 -5.030 7.320
-0.967 -6.994 5.875
0.442 -5.235 7.534
Ni Ag Mn
1 2 1
direct
0.250 0.250 0.250
0.997 0.997 0.997
0.503 0.503 0.503
0.750 0.750 0.750
```

Summary:
As for the energy above the most stable polymorph in this dataset: 221.4 meV/atom. Its calculated volume is 61.3 Å³/f.u. The total magnetic moment comes out at 3.73 μB/f.u. The energy of formation is 343 meV/atom. Its density is 8.92 Mg/m³. Its space group is R-3m.

=====

Entry from Alexandria: MnNiAg2 after structural relaxation (PBE).

The structure in POSCAR format:
```
MnNiAg2
1.0
4.783 0.019 0.000
-1.667 4.483 0.000
0.000 0.000 2.875
Ni Ag Mn
1 2 1
direct
0.000 0.500 0.500
0.500 0.500 0.000
0.000 0.000 0.000
0.500 0.000 0.500
```

Summary:
As for the energy above the most stable polymorph in this dataset: 166.1 meV/atom. Its calculated volume is 61.7 Å³/f.u. The total magnetic moment comes out at 4.46 μB/f.u. The energy of formation is 288 meV/atom. Its density is 8.86 Mg/m³. Its space group is Cmmm.